i | Entry from Alexandria via LeMat-Bulk: a crystal of TaSbTeI2 relaxed with PBEsol (SCAN). Values from VASP.

```
&SYSTEM
  ibrav = 0, nat = 5, ntyp = 4
/
ATOMIC_SPECIES
Sb 121.76 Sb.upf
Ta 180.95 Ta.upf
I 126.90 I.upf
Te 127.60 Te.upf
CELL_PARAMETERS angstrom
-1.082 1.050 5.475
2.978 -4.606 1.472
4.809 3.215 0.334
ATOMIC_POSITIONS angstrom
Sb 2.404 1.608 0.167
Ta 3.352 -0.170 3.640
I 1.489 -2.303 0.736
I -0.541 0.525 2.737
Te 0.000 0.000 0.000
```



ii | Entry from Alexandria via LeMat-Bulk: a crystal of TaSbTeI2 relaxed with PBEsol (SCAN). Values from VASP.

```
&SYSTEM
  ibrav = 0, nat = 5, ntyp = 4
/
ATOMIC_SPECIES
Te 127.60 Te.upf
Ta 180.95 Ta.upf
I 126.90 I.upf
Sb 121.76 Sb.upf
CELL_PARAMETERS angstrom
5.412 0.000 0.000
0.000 5.366 0.000
0.000 0.000 5.366
ATOMIC_POSITIONS angstrom
Te 2.706 0.000 0.000
Ta 0.000 0.000 0.000
I 0.000 2.683 0.000
I 0.000 0.000 2.683
Sb 2.706 2.683 2.683
```



It turns out ii is the most stable, with the second structure 0.970 eV/atom higher.



i | Entry from Alexandria via LeMat-Bulk: a crystal of TaTe2SeI relaxed with PBEsol (SCAN). Values from VASP.

```
&SYSTEM
  ibrav = 0, nat = 5, ntyp = 4
/
ATOMIC_SPECIES
Te 127.60 Te.upf
I 126.90 I.upf
Ta 180.95 Ta.upf
Se 78.96 Se.upf
CELL_PARAMETERS angstrom
-4.871 1.547 -1.461
-0.437 -4.298 -3.096
-2.081 -2.715 4.063
ATOMIC_POSITIONS angstrom
Te -2.435 0.774 -0.730
I -1.040 -1.357 2.031
Ta 0.000 0.000 0.000
Se -3.694 -2.733 -0.247
Te -0.218 -2.149 -1.548
```



ii | Entry from Alexandria via LeMat-Bulk: a crystal of TaTe2SeI relaxed with PBEsol (SCAN). Values from VASP.

```
&SYSTEM
  ibrav = 0, nat = 5, ntyp = 4
/
ATOMIC_SPECIES
Ta 180.95 Ta.upf
Se 78.96 Se.upf
Te 127.60 Te.upf
I 126.90 I.upf
CELL_PARAMETERS angstrom
5.335 0.000 0.000
0.000 5.335 0.000
0.000 0.000 5.300
ATOMIC_POSITIONS angstrom
Ta 2.667 2.667 2.650
Se 0.000 0.000 0.000
Te 2.667 0.000 0.000
I 0.000 0.000 2.650
Te 0.000 2.667 0.000
```



It turns out i is the most stable, with the second structure 0.829 eV/atom higher.



i | Entry from Alexandria via LeMat-Bulk: a crystal of Ti3SeI relaxed with PBEsol (SCAN). Values from VASP.

```
&SYSTEM
  ibrav = 0, nat = 5, ntyp = 3
/
ATOMIC_SPECIES
Se 78.96 Se.upf
Ti 47.87 Ti.upf
I 126.90 I.upf
CELL_PARAMETERS angstrom
-1.881 1.920 -4.146
-3.562 -3.424 0.031
-2.861 3.001 2.688
ATOMIC_POSITIONS angstrom
Se -4.152 0.748 -0.714
Ti -1.431 1.500 1.344
Ti -1.781 -1.712 0.015
Ti -0.941 0.960 -2.073
I 0.000 0.000 0.000
```



ii | Entry from Alexandria via LeMat-Bulk: a crystal of Ti3SeI relaxed with PBEsol (SCAN). Values from VASP.

```
&SYSTEM
  ibrav = 0, nat = 5, ntyp = 3
/
ATOMIC_SPECIES
I 126.90 I.upf
Se 78.96 Se.upf
Ti 47.87 Ti.upf
CELL_PARAMETERS angstrom
-2.787 3.720 0.847
-1.757 -2.183 3.804
3.387 1.929 2.671
ATOMIC_POSITIONS angstrom
I -0.579 1.733 3.661
Se 0.000 0.000 0.000
Ti 1.693 0.965 1.335
Ti -0.878 -1.091 1.902
Ti -1.394 1.860 0.424
```



It turns out ii is the most stable, with the second structure 0.707 eV/atom higher.



i | Entry from Alexandria via LeMat-Bulk: a crystal of TlSeI3 relaxed with PBEsol (SCAN). Values from VASP.

```
&SYSTEM
  ibrav = 0, nat = 5, ntyp = 3
/
ATOMIC_SPECIES
I 126.90 I.upf
Se 78.96 Se.upf
Tl 204.38 Tl.upf
CELL_PARAMETERS angstrom
-3.512 -4.712 0.624
3.147 -2.887 -4.085
3.562 -2.095 4.225
ATOMIC_POSITIONS angstrom
I 1.574 -1.443 -2.043
Se 1.599 -4.847 0.382
Tl 0.000 0.000 0.000
I 1.781 -1.047 2.112
I -1.756 -2.356 0.312
```



ii | Entry from Alexandria via LeMat-Bulk: a crystal of TlSeI3 relaxed with PBEsol (SCAN). Values from VASP.

```
&SYSTEM
  ibrav = 0, nat = 5, ntyp = 3
/
ATOMIC_SPECIES
Tl 204.38 Tl.upf
I 126.90 I.upf
Se 78.96 Se.upf
CELL_PARAMETERS angstrom
-1.616 -1.217 5.340
2.190 -5.247 -0.534
5.021 1.897 1.951
ATOMIC_POSITIONS angstrom
Tl 2.797 -2.284 3.379
I -0.808 -0.609 2.670
Se 0.000 0.000 0.000
I 2.510 0.948 0.976
I 1.095 -2.624 -0.267
```



It turns out ii is the most stable, with the second structure 0.532 eV/atom higher.



i | Entry from Alexandria via LeMat-Bulk: a crystal of TeI4 relaxed with PBEsol (SCAN). Values from VASP.

```
&SYSTEM
  ibrav = 0, nat = 40, ntyp = 2
/
ATOMIC_SPECIES
Te 127.60 Te.upf
I 126.90 I.upf
CELL_PARAMETERS angstrom
-11.456 -1.764 -0.791
-4.227 -5.861 -11.033
-4.452 -11.474 4.742
ATOMIC_POSITIONS angstrom
Te -11.661 -7.780 -9.353
I -9.479 -6.166 -0.112
I -11.333 -13.137 -0.380
I -3.452 -3.824 -3.627
I -8.039 -12.529 -6.790
Te -8.492 -11.528 -4.223
I -8.495 -7.240 -9.283
I -6.074 -6.862 -2.528
I -3.508 -5.224 0.308
I -13.572 -14.795 -3.241
I -14.551 -12.342 2.101
I -16.255 -16.429 -6.077
I -16.814 -13.973 -0.780
I -16.811 -12.659 -4.744
I -11.944 -7.869 -2.970
I -6.857 -3.128 -1.211
I -14.233 -9.504 -5.772
I -13.516 -13.395 -7.175
I -11.260 -11.702 -4.324
I -14.288 -10.885 -1.889
I -12.443 -3.885 -1.559
I -5.938 -5.527 -6.483
I -8.663 -8.610 -5.489
I -11.220 -10.323 -8.289
Te -3.668 -2.787 -1.044
Te -13.118 -15.796 -5.807
I -9.423 -4.765 -4.047
I -14.381 -8.110 -9.791
I -10.350 -15.623 -5.706
I -11.913 -6.439 -6.917
I -16.702 -11.175 -8.646
Te -9.264 -7.203 -2.695
Te -5.498 -8.071 -5.419
I -8.721 -10.064 -1.403
I -12.025 -9.254 0.992
Te -11.823 -11.834 2.040
I -8.662 -11.399 2.406
I -8.095 -13.929 -2.855
Te -5.560 -9.630 -1.037
I -6.050 -8.326 1.383
```



ii | Entry from Alexandria via LeMat-Bulk: a crystal of TeI4 relaxed with PBEsol (SCAN). Values from VASP.

```
&SYSTEM
  ibrav = 0, nat = 80, ntyp = 2
/
ATOMIC_SPECIES
Te 127.60 Te.upf
I 126.90 I.upf
CELL_PARAMETERS angstrom
13.520 0.000 0.000
0.000 14.573 0.000
0.000 0.000 16.701
ATOMIC_POSITIONS angstrom
Te 4.616 12.120 14.874
I 9.680 12.213 14.687
I 3.932 5.938 8.364
Te 8.904 2.453 6.523
I 7.247 7.453 2.128
I 2.861 13.318 12.526
I 0.212 10.695 4.175
I 3.811 9.752 2.158
I 0.424 7.178 1.947
I 6.424 10.794 12.526
I 3.811 9.752 6.193
Te 8.913 6.360 4.175
I 9.680 12.213 10.366
I 13.033 0.166 10.478
I 0.454 3.667 16.612
Te 4.572 1.441 12.526
I 13.096 7.395 14.755
I 7.214 3.619 16.612
I 6.273 7.120 10.478
I 3.840 2.360 2.015
I 0.424 7.178 6.404
I 3.932 5.938 16.688
I 9.709 4.821 14.544
I 10.601 4.927 6.336
Te 11.377 9.740 14.874
Te 11.332 5.846 12.526
Te 4.607 8.213 12.526
Te 8.948 13.132 4.175
I 6.306 10.954 8.261
Te 2.144 4.833 1.827
I 7.247 7.453 6.223
I 2.920 9.646 14.687
I 10.571 12.107 6.193
I 13.184 11.066 12.526
I 0.336 3.507 4.175
I 7.214 3.619 8.440
Te 11.367 13.647 12.526
I 9.588 8.635 0.013
I 7.184 0.108 6.404
I 2.949 2.466 10.508
I 2.920 9.646 10.366
I 2.949 2.466 14.544
I 9.709 4.821 10.508
I 0.487 14.407 6.223
I 7.184 0.108 1.947
I 10.692 1.349 16.688
I 13.096 7.395 10.297
I 6.548 3.409 12.526
I 10.659 1.255 4.175
I 0.454 3.667 8.440
Te 2.188 8.727 4.175
I 6.336 14.465 10.297
I 9.621 8.542 12.526
I 3.899 6.031 4.175
I 9.512 1.152 12.526
Te 8.904 2.453 1.827
I 4.009 13.421 4.175
I 2.752 6.135 12.526
I 7.096 3.779 4.175
I 10.601 4.927 2.015
Te 4.616 12.120 10.178
I 10.571 12.107 2.158
I 3.840 2.360 6.336
I 2.828 13.224 0.013
I 9.588 8.635 8.337
I 6.336 14.465 14.755
I 6.972 11.164 4.175
I 6.306 10.954 0.090
I 2.828 13.224 8.337
I 6.273 7.120 14.574
I 13.067 10.906 8.261
Te 2.144 4.833 6.523
Te 2.153 0.926 4.175
Te 11.377 9.740 10.178
I 10.769 8.438 4.175
I 13.033 0.166 14.574
I 10.692 1.349 8.364
I 0.487 14.407 2.128
I 13.067 10.906 0.090
I 13.309 3.878 12.526
```



It turns out ii is the most stable, with the second structure 0.010 eV/atom higher.



i | Entry from Alexandria via LeMat-Bulk: a crystal of TeI relaxed with PBEsol (SCAN). Values from VASP.

```
&SYSTEM
  ibrav = 0, nat = 8, ntyp = 2
/
ATOMIC_SPECIES
Te 127.60 Te.upf
I 126.90 I.upf
CELL_PARAMETERS angstrom
4.178 0.000 0.000
2.089 7.698 -0.286
2.089 0.116 9.300
ATOMIC_POSITIONS angstrom
Te 4.178 2.457 1.333
Te 6.268 3.323 7.481
I 4.178 1.042 7.495
I 4.178 6.007 4.964
I 4.178 1.807 4.050
Te 4.178 5.357 7.681
Te 2.089 4.491 1.534
I 4.178 6.772 1.520
```



ii | Entry from Alexandria via LeMat-Bulk: a crystal of TeI relaxed with PBEsol (SCAN). Values from VASP.

```
&SYSTEM
  ibrav = 0, nat = 16, ntyp = 2
/
ATOMIC_SPECIES
I 126.90 I.upf
Te 127.60 Te.upf
CELL_PARAMETERS angstrom
-2.876 4.080 -6.449
2.156 -4.425 -6.299
-7.289 -6.491 -0.919
ATOMIC_POSITIONS angstrom
I -1.809 1.057 -6.364
I -6.200 -7.894 -7.303
Te -1.282 -1.603 -3.055
I -4.788 -3.278 -10.211
Te -8.699 -1.221 -7.150
I -3.611 -5.549 -7.060
Te -7.318 -3.153 -4.060
I -4.398 -1.287 -6.607
I -2.179 -0.834 -9.946
I -5.830 -6.003 -3.721
Te -6.529 -3.063 -6.782
I -3.221 -3.559 -3.456
Te -0.691 -3.684 -9.606
Te -1.481 -3.774 -6.885
Te -6.728 -5.234 -10.611
Te 0.690 -5.615 -6.516
```



It turns out i is the most stable, with the second structure 0.020 eV/atom higher.



i | Entry from Alexandria via LeMat-Bulk: a crystal of YTlTeI2 relaxed with PBEsol (SCAN). Values from VASP.

```
&SYSTEM
  ibrav = 0, nat = 5, ntyp = 4
/
ATOMIC_SPECIES
Tl 204.38 Tl.upf
I 126.90 I.upf
Te 127.60 Te.upf
Y 88.91 Y.upf
CELL_PARAMETERS angstrom
-1.959 4.515 3.135
0.871 -3.078 4.977
5.505 2.138 0.360
ATOMIC_POSITIONS angstrom
Tl 2.208 1.788 4.236
I 0.435 -1.539 2.489
Te -0.979 2.257 1.567
I 2.752 1.069 0.180
Y 0.000 0.000 0.000
```



ii | Entry from Alexandria via LeMat-Bulk: a crystal of YTlTeI2 relaxed with PBEsol (SCAN). Values from VASP.

```
&SYSTEM
  ibrav = 0, nat = 5, ntyp = 4
/
ATOMIC_SPECIES
Tl 204.38 Tl.upf
Y 88.91 Y.upf
I 126.90 I.upf
Te 127.60 Te.upf
CELL_PARAMETERS angstrom
-2.647 -4.730 -1.730
5.138 -2.644 -0.635
-0.276 -1.857 5.502
ATOMIC_POSITIONS angstrom
Tl 0.000 0.000 0.000
Y 1.108 -4.616 1.569
I -0.138 -0.929 2.751
I 2.569 -1.322 -0.317
Te -1.324 -2.365 -0.865
```



It turns out i is the most stable, with the second structure 0.995 eV/atom higher.



i | Entry from Alexandria via LeMat-Bulk: a crystal of KIn2Ir relaxed with PBEsol (SCAN). Values from VASP.

```
&SYSTEM
  ibrav = 0, nat = 4, ntyp = 3
/
ATOMIC_SPECIES
K 39.10 K.upf
Ir 192.22 Ir.upf
In 114.82 In.upf
CELL_PARAMETERS angstrom
-1.472 4.371 1.774
0.556 1.032 4.800
3.348 3.338 1.437
ATOMIC_POSITIONS angstrom
K 0.608 2.185 2.003
Ir 1.216 4.370 4.006
In 0.000 0.000 0.000
In 1.824 6.556 6.009
```



ii | Entry from Alexandria via LeMat-Bulk: a crystal of KIn2Ir relaxed with PBEsol (SCAN). Values from VASP.

```
&SYSTEM
  ibrav = 0, nat = 4, ntyp = 3
/
ATOMIC_SPECIES
In 114.82 In.upf
Ir 192.22 Ir.upf
K 39.10 K.upf
CELL_PARAMETERS angstrom
3.062 0.000 0.002
0.000 4.378 0.000
-0.013 0.000 8.082
ATOMIC_POSITIONS angstrom
In 2.677 2.189 2.878
Ir 1.146 0.000 2.760
K 1.135 2.189 6.021
In 2.678 0.000 0.471
```



It turns out ii is the most stable, with the second structure 0.546 eV/atom higher.



i | Entry from Alexandria via LeMat-Bulk: a crystal of La3InIr relaxed with PBEsol (SCAN). Values from VASP.

```
&SYSTEM
  ibrav = 0, nat = 10, ntyp = 3
/
ATOMIC_SPECIES
In 114.82 In.upf
La 138.91 La.upf
Ir 192.22 Ir.upf
CELL_PARAMETERS angstrom
5.885 -0.062 0.000
-2.510 6.723 0.000
0.000 0.000 7.460
ATOMIC_POSITIONS angstrom
In 3.408 2.086 5.595
La 0.421 1.936 3.873
La 3.495 0.942 1.865
La -0.120 5.719 5.595
La 0.421 1.936 7.317
Ir 2.682 6.597 5.595
In -0.033 4.575 1.865
La 2.954 4.726 0.143
Ir 0.693 0.064 1.865
La 2.954 4.726 3.587
```



ii | Entry from Alexandria via LeMat-Bulk: a crystal of La3InIr relaxed with PBEsol (SCAN). Values from VASP.

```
&SYSTEM
  ibrav = 0, nat = 5, ntyp = 3
/
ATOMIC_SPECIES
In 114.82 In.upf
La 138.91 La.upf
Ir 192.22 Ir.upf
CELL_PARAMETERS angstrom
5.731 0.000 0.000
0.000 5.731 0.000
0.000 0.000 5.731
ATOMIC_POSITIONS angstrom
In 0.000 0.000 0.000
La 0.000 0.000 2.866
La 0.000 2.866 0.000
Ir 2.866 2.866 2.866
La 2.866 0.000 0.000
```



It turns out i is the most stable, with the second structure 1.592 eV/atom higher.



i | Entry from Alexandria via LeMat-Bulk: a crystal of LiIn2Ir relaxed with PBEsol (SCAN). Values from VASP.

```
&SYSTEM
  ibrav = 0, nat = 4, ntyp = 3
/
ATOMIC_SPECIES
In 114.82 In.upf
Ir 192.22 Ir.upf
Li 6.94 Li.upf
CELL_PARAMETERS angstrom
3.095 0.000 0.000
1.548 2.681 0.000
1.548 0.894 8.940
ATOMIC_POSITIONS angstrom
In 4.643 2.681 6.588
In 1.548 0.894 2.352
Ir 3.095 1.787 4.470
Li 0.000 0.000 0.000
```



ii | Entry from Alexandria via LeMat-Bulk: a crystal of LiIn2Ir relaxed with PBEsol (SCAN). Values from VASP.

```
&SYSTEM
  ibrav = 0, nat = 4, ntyp = 3
/
ATOMIC_SPECIES
Ir 192.22 Ir.upf
In 114.82 In.upf
Li 6.94 Li.upf
CELL_PARAMETERS angstrom
-0.145 4.417 -1.117
-3.084 1.491 -3.007
-3.480 2.592 1.398
ATOMIC_POSITIONS angstrom
Ir 0.000 0.000 0.000
In -1.677 2.125 -0.681
In -5.031 6.375 -2.044
Li -3.354 4.250 -1.363
```



It turns out ii is the most stable, with the second structure 0.381 eV/atom higher.



i | Entry from Alexandria via LeMat-Bulk: a crystal of InIr2Pb relaxed with PBEsol (SCAN). Values from VASP.

```
&SYSTEM
  ibrav = 0, nat = 4, ntyp = 3
/
ATOMIC_SPECIES
Ir 192.22 Ir.upf
In 114.82 In.upf
Pb 207.20 Pb.upf
CELL_PARAMETERS angstrom
2.918 0.000 0.000
0.000 4.677 0.000
-1.459 -2.338 5.462
ATOMIC_POSITIONS angstrom
Ir 1.459 2.338 5.175
In 1.459 0.000 2.478
Ir 0.000 2.338 2.941
Pb 1.459 2.338 0.331
```



ii | Entry from Alexandria via LeMat-Bulk: a crystal of InIr2Pb relaxed with PBEsol (SCAN). Values from VASP.

```
&SYSTEM
  ibrav = 0, nat = 4, ntyp = 3
/
ATOMIC_SPECIES
In 114.82 In.upf
Ir 192.22 Ir.upf
Pb 207.20 Pb.upf
CELL_PARAMETERS angstrom
3.101 0.000 0.000
-1.550 4.409 0.007
0.000 -1.060 5.243
ATOMIC_POSITIONS angstrom
In 0.000 -0.530 2.622
Ir 1.550 1.387 3.876
Ir 0.000 1.961 1.374
Pb 1.550 0.000 0.000
```



It turns out i is the most stable, with the second structure 0.063 eV/atom higher.